## PmYScTl (GGA-PBE)

Data for a relaxed PmYScTl crystal.

Uncorrected energy = -20.2 eV per formula unit
Energy of formation from the pure elements = -0.08 eV per atom
Symmetry = No. 216
Total magnetization = 1.36 μB/f.u.

Cell: 5.423 5.423 5.423 Å, 60.00 60.00 60.00°
Fractional coordinates of all 4 atoms:
Pm 0.000 0.000 0.000
Y 0.500 0.500 0.500
Sc 0.750 0.750 0.750
Tl 0.250 0.250 0.250